Record 1
This record from the Alexandria database describes a relaxed structure of LiSc2Zn16. The functional is GGA-PBE.

Space group: R3m (160)

a = 6.712 Å, b = 6.712 Å, c = 6.712 Å
α = 82.61°, β = 82.61°, γ = 82.61°
Atoms (fractional coordinates):
Li (0.000, 0.000, 0.000)
Sc (0.242, 0.242, 0.242)
Sc (0.570, 0.570, 0.570)
Zn (0.074, 0.552, 0.552)
Zn (0.209, 0.607, 0.908)
Zn (0.209, 0.908, 0.607)
Zn (0.261, 0.261, 0.751)
Zn (0.261, 0.751, 0.261)
Zn (0.404, 0.910, 0.910)
Zn (0.552, 0.074, 0.552)
Zn (0.552, 0.552, 0.074)
Zn (0.607, 0.209, 0.908)
Zn (0.607, 0.908, 0.209)
Zn (0.751, 0.261, 0.261)
Zn (0.796, 0.796, 0.796)
Zn (0.908, 0.209, 0.607)
Zn (0.908, 0.607, 0.209)
Zn (0.910, 0.404, 0.910)
Zn (0.910, 0.910, 0.404)


Record 2
This record from the Alexandria database describes a relaxed structure of LiSc2Zn3. The functional is GGA-PBE.

Space group: P-3m1 (164)

a = 4.647 Å, b = 4.647 Å, c = 11.349 Å
α = 90.00°, β = 90.00°, γ = 120.00°
Atoms (fractional coordinates):
Li (0.333, 0.667, 0.166)
Li (0.667, 0.333, 0.834)
Sc (0.000, 0.000, 0.000)
Sc (0.000, 0.000, 0.500)
Sc (0.333, 0.667, 0.673)
Sc (0.667, 0.333, 0.327)
Zn (0.000, 0.000, 0.247)
Zn (0.000, 0.000, 0.753)
Zn (0.333, 0.667, 0.412)
Zn (0.333, 0.667, 0.922)
Zn (0.667, 0.333, 0.078)
Zn (0.667, 0.333, 0.588)


In Å³ per cell, the calculated volume values for the records above are, in order, 295.4, 212.2.
In states/eV/cell, the density of states at the Fermi level values for the records above are, in order, 5.24, 8.17.
In eV/atom, the ΔE_f values for the records above are, in order, -0.185, -0.288.